Record 1
This record from Alexandria describes Nb14SnOs after structural relaxation. The functional is PBE.

The energy of formation is -1.51 eV per formula unit.

The structure belongs to space group P4/mmm (No. 123); the cell edges are 6.634, 6.634 and 6.597 Å and the angles 90.00°, 90.00° and 90.00°. Symmetry generates all atoms from Nb at (0.000, 0.000, 0.000), Nb at (0.000, 0.500, 0.000), Nb at (0.000, 0.500, 0.500), Nb at (0.242, 0.242, 0.250), Nb at (0.500, 0.500, 0.000), Sn at (0.500, 0.500, 0.500) and Os at (0.000, 0.000, 0.500).

Record 2
This record from Alexandria describes Er5ThSc3 after structural relaxation. The functional is PBE.

The energy of formation is 4.43 eV per formula unit.

The structure belongs to space group C2/m (No. 12); the cell edges are 14.555, 11.067 and 9.546 Å and the angles 90.00°, 130.39° and 90.00°. Symmetry generates all atoms from Er at (0.000, 0.243, 0.000), Er at (0.137, 0.247, 0.740), Er at (0.221, 0.500, 0.040), Er at (0.223, 0.000, 0.228), Th at (0.246, 0.000, 0.584), Sc at (0.000, 0.000, 0.500), Sc at (0.000, 0.500, 0.000), Sc at (0.007, 0.000, 0.812) and Sc at (0.020, 0.500, 0.365).

Record 3
This record from Alexandria describes SmYSb2 after structural relaxation. The functional is PBE.

The energy above the most stable polymorph in this dataset comes out at 0 meV per atom.

The structure belongs to space group Pmmn (No. 59, origin choice 2); the cell edges are 4.432, 6.267 and 8.860 Å and the angles 90.00°, 90.00° and 90.00°. Symmetry generates all atoms from Sm at (0.250, 0.250, 0.126), Y at (0.250, 0.250, 0.625), Sb at (0.250, 0.750, 0.128) and Sb at (0.250, 0.750, 0.621).

| no. | density of states at the Fermi level (states/eV per cell) |
| --- | --- |
| 1 | 16.68 |
| 2 | 56.83 |
| 3 | 1.24 |